1.
A plane-wave DFT calculation with PBE-GGA was carried out for a relaxed TlZnInSb crystal.

Properties
The value obtained for the uncorrected energy is -2.50 eV per atom.

Lattice parameters (Å, degrees): 7.5332 7.5332 7.5332 90.00 90.00 90.00
Space group F-43m (No. 216)
Symmetry-distinct sites (fractional):
Tl 0.0000 0.0000 0.0000 x4
Zn 0.2500 0.2500 0.2500 x4
In 0.0000 0.0000 0.5000 x4
Sb 0.2500 0.2500 0.7500 x4

---

2.
A plane-wave DFT calculation with PBE-GGA was carried out for a relaxed Tl2ZnInSb2 crystal.

Properties
The value obtained for the uncorrected energy is -2.84 eV per atom.

Lattice parameters (Å, degrees): 6.6328 16.2741 6.6407 90.00 90.00 90.00
Space group Ibam (No. 72)
Symmetry-distinct sites (fractional):
Tl 0.2266 0.1841 0.0000 x8
Zn 0.0000 0.5000 0.2500 x4
In 0.0000 0.0000 0.2500 x4
Sb 0.2190 0.3917 0.0000 x8

---

3.
A plane-wave DFT calculation with PBE-GGA was carried out for a relaxed Tm2InSb crystal.

Properties
The value obtained for the uncorrected energy is -4.54 eV per atom.

Lattice parameters (Å, degrees): 3.9113 3.9113 6.8118 90.00 90.00 90.00
Space group P4/mmm (No. 123)
Symmetry-distinct sites (fractional):
Tm 0.0000 0.0000 0.2424 x2
In 0.5000 0.5000 0.5000 x1
Sb 0.5000 0.5000 0.0000 x1

---

4.
A plane-wave DFT calculation with PBE-GGA was carried out for a relaxed Tm5InSb2 crystal.

Properties
The value obtained for the uncorrected energy is -4.52 eV per atom.

Lattice parameters (Å, degrees): 5.4797 11.3559 14.7742 90.00 90.00 90.00
Space group Cmcm (No. 63)
Symmetry-distinct sites (fractional):
Tm 0.0000 0.0747 0.0949 x8
Tm 0.0000 0.3794 0.0513 x8
Tm 0.0000 0.4244 0.7500 x4
In 0.0000 0.2845 0.2500 x4
Sb 0.0000 0.2118 0.6134 x8

---

5.
A plane-wave DFT calculation with PBE-GGA was carried out for a relaxed TmInSb2 crystal.

Properties
The value obtained for the uncorrected energy is -4.22 eV per atom.

Lattice parameters (Å, degrees): 4.3075 4.3075 22.0093 90.00 90.00 120.00
Space group R-3m (No. 166, hexagonal axes)
Symmetry-distinct sites (fractional):
Tm 0.0000 0.0000 0.0000 x3
In 0.0000 0.0000 0.5000 x3
Sb 0.0000 0.0000 0.2498 x6

---

6.
A plane-wave DFT calculation with PBE-GGA was carried out for a relaxed Tm8In2Sb crystal.

Properties
The value obtained for the uncorrected energy is -4.32 eV per atom.

Lattice parameters (Å, degrees): 8.6331 14.4165 5.6228 90.00 114.62 90.00
Space group C2/m (No. 12)
Symmetry-distinct sites (fractional):
Tm 0.0000 0.2170 0.0000 x4
Tm 0.1003 0.5000 0.7988 x4
Tm 0.2100 0.1146 0.6245 x8
In 0.0000 0.3049 0.5000 x4
Sb 0.0000 0.0000 0.0000 x2

---

7.
A plane-wave DFT calculation with PBE-GGA was carried out for a relaxed Tm4InSb2 crystal.

Properties
The value obtained for the uncorrected energy is -4.69 eV per atom.

Lattice parameters (Å, degrees): 9.5584 9.5584 9.3605 90.00 90.00 90.00
Space group I4_1/amd (No. 141, origin choice 2)
Symmetry-distinct sites (fractional):
Tm 0.0000 0.0621 0.1875 x16
In 0.0000 0.2500 0.8750 x4
Sb 0.0000 0.0000 0.5000 x8

---

8.
A plane-wave DFT calculation with PBE-GGA was carried out for a relaxed TmInSb crystal.

Properties
The value obtained for the uncorrected energy is -4.19 eV per atom.

Lattice parameters (Å, degrees): 8.1809 5.4347 8.8401 90.00 116.87 90.00
Space group C2/m (No. 12)
Symmetry-distinct sites (fractional):
Tm 0.1408 0.0000 0.2465 x4
In 0.1979 0.5000 0.0465 x4
Sb 0.0597 0.5000 0.3589 x4

---

9.
A plane-wave DFT calculation with PBE-GGA was carried out for a relaxed TmIn2Sb crystal.

Properties
The value obtained for the uncorrected energy is -3.89 eV per atom.

Lattice parameters (Å, degrees): 4.5115 4.5115 5.0427 90.00 90.00 90.00
Space group P4/mmm (No. 123)
Symmetry-distinct sites (fractional):
Tm 0.0000 0.0000 0.0000 x1
In 0.0000 0.5000 0.5000 x2
Sb 0.5000 0.5000 0.0000 x1

---

10.
A plane-wave DFT calculation with PBE-GGA was carried out for a relaxed Tm12In3Sb crystal.

Properties
The value obtained for the uncorrected energy is -4.43 eV per atom.

Lattice parameters (Å, degrees): 4.7680 4.7680 19.0243 90.00 90.00 90.00
Space group P4/mmm (No. 123)
Symmetry-distinct sites (fractional):
Tm 0.0000 0.0000 0.0000 x1
Tm 0.0000 0.0000 0.2476 x2
Tm 0.0000 0.0000 0.5000 x1
Tm 0.0000 0.5000 0.1226 x4
Tm 0.0000 0.5000 0.3739 x4
In 0.5000 0.5000 0.2503 x2
In 0.5000 0.5000 0.5000 x1
Sb 0.5000 0.5000 0.0000 x1

---

11.
A plane-wave DFT calculation with PBE-GGA was carried out for a relaxed Tm2InSb crystal.

Properties
The value obtained for the uncorrected energy is -4.55 eV per atom.

Lattice parameters (Å, degrees): 4.0909 4.0909 24.1230 90.00 90.00 120.00
Space group R-3m (No. 166, hexagonal axes)
Symmetry-distinct sites (fractional):
Tm 0.0000 0.0000 0.2433 x6
In 0.0000 0.0000 0.0000 x3
Sb 0.0000 0.0000 0.5000 x3

---

12.
A plane-wave DFT calculation with PBE-GGA was carried out for a relaxed Tm5In2Sb2 crystal.

Properties
The value obtained for the uncorrected energy is -4.72 eV per atom.

Lattice parameters (Å, degrees): 15.4363 8.0153 8.0101 90.00 90.00 90.00
Space group Cmce (No. 64)
Symmetry-distinct sites (fractional):
Tm 0.0000 0.0000 0.0000 x4
Tm 0.1371 0.1692 0.3340 x16
In 0.0000 0.1302 0.6294 x8
Sb 0.2037 0.0000 0.0000 x8

---

13.
A plane-wave DFT calculation with PBE-GGA was carried out for a relaxed TmIn2Sb crystal.

Properties
The value obtained for the uncorrected energy is -3.34 eV per atom.

Lattice parameters (Å, degrees): 3.4973 3.4973 33.9003 90.00 90.00 120.00
Space group R-3m (No. 166, hexagonal axes)
Symmetry-distinct sites (fractional):
Tm 0.0000 0.0000 0.0000 x3
In 0.0000 0.0000 0.0921 x6
Sb 0.0000 0.0000 0.5000 x3

---

14.
A plane-wave DFT calculation with PBE-GGA was carried out for a relaxed TmInSb2 crystal.

Properties
The value obtained for the uncorrected energy is -4.19 eV per atom.

Lattice parameters (Å, degrees): 4.4974 4.4974 20.8091 90.00 90.00 120.00
Space group R3m (No. 160, hexagonal axes)
Symmetry-distinct sites (fractional):
Tm 0.0000 0.0000 0.0000 x3
In 0.0000 0.0000 0.8324 x3
Sb 0.0000 0.0000 0.4146 x3
Sb 0.0000 0.0000 0.5908 x3

---

15.
A plane-wave DFT calculation with PBE-GGA was carried out for a relaxed Tm6InSb2 crystal.

Properties
The value obtained for the uncorrected energy is -4.66 eV per atom.

Lattice parameters (Å, degrees): 6.1950 8.2939 11.5511 90.00 120.71 90.00
Space group P2_1/c (No. 14)
Symmetry-distinct sites (fractional):
Tm 0.0757 0.0445 0.2221 x4
Tm 0.1644 0.7057 0.0558 x4
Tm 0.4125 0.1559 0.0438 x4
In 0.5000 0.0000 0.5000 x2
Sb 0.3399 0.1127 0.7361 x4

---

16.
A plane-wave DFT calculation with PBE-GGA was carried out for a relaxed Tm8InSb2 crystal.

Properties
The value obtained for the uncorrected energy is -4.62 eV per atom.

Lattice parameters (Å, degrees): 18.9920 4.9683 6.8103 90.00 102.06 90.00
Space group C2/m (No. 12)
Symmetry-distinct sites (fractional):
Tm 0.0180 0.0000 0.2574 x4
Tm 0.0924 0.5000 0.9851 x4
Tm 0.1607 0.5000 0.5190 x4
Tm 0.2148 0.0000 0.8418 x4
In 0.0000 0.5000 0.5000 x2
Sb 0.1796 0.0000 0.2707 x4

---

17.
A plane-wave DFT calculation with PBE-GGA was carried out for a relaxed Tm10In3Sb3 crystal.

Properties
The value obtained for the uncorrected energy is -4.72 eV per atom.

Lattice parameters (Å, degrees): 8.8391 8.8391 6.4334 90.00 90.00 120.00
Space group P-62m (No. 189)
Symmetry-distinct sites (fractional):
Tm 0.0000 0.2364 0.0000 x3
Tm 0.0000 0.7642 0.5000 x3
Tm 0.3333 0.6667 0.2532 x4
In 0.0000 0.3953 0.5000 x3
Sb 0.0000 0.6045 0.0000 x3

---

18.
A plane-wave DFT calculation with PBE-GGA was carried out for a relaxed Tm3InSb crystal.

Properties
The value obtained for the uncorrected energy is -4.51 eV per atom.

Lattice parameters (Å, degrees): 18.3737 4.1093 8.1608 90.00 106.02 90.00
Space group C2/m (No. 12)
Symmetry-distinct sites (fractional):
Tm 0.0765 0.0000 0.3400 x4
Tm 0.1653 0.0000 0.9116 x4
Tm 0.2108 0.5000 0.6059 x4
In 0.0568 0.5000 0.6697 x4
Sb 0.1713 0.5000 0.1961 x4

---

19.
A plane-wave DFT calculation with PBE-GGA was carried out for a relaxed UInSb crystal.

Properties
The value obtained for the uncorrected energy is -6.14 eV per atom.

Lattice parameters (Å, degrees): 4.1734 16.3436 4.5794 90.00 90.00 90.00
Space group Cmcm (No. 63)
Symmetry-distinct sites (fractional):
U 0.0000 0.0831 0.2500 x4
In 0.0000 0.2468 0.7500 x4
Sb 0.0000 0.4206 0.2500 x4

---

20.
A plane-wave DFT calculation with PBE-GGA was carried out for a relaxed UInSb crystal.

Properties
The value obtained for the uncorrected energy is -6.15 eV per atom.

Lattice parameters (Å, degrees): 4.4362 4.4362 16.2007 90.00 90.00 90.00
Space group I4/mmm (No. 139)
Symmetry-distinct sites (fractional):
U 0.0000 0.0000 0.1483 x4
In 0.0000 0.5000 0.0000 x4
Sb 0.0000 0.0000 0.3395 x4

---

21.
A plane-wave DFT calculation with PBE-GGA was carried out for a relaxed UInSb crystal.

Properties
The value obtained for the uncorrected energy is -5.97 eV per atom.

Lattice parameters (Å, degrees): 5.3380 5.3380 3.0743 90.00 90.00 120.00
Space group P-6m2 (No. 187)
Symmetry-distinct sites (fractional):
U 0.0000 0.0000 0.0000 x1
In 0.3333 0.6667 0.5000 x1
Sb 0.6667 0.3333 0.5000 x1

---

22.
A plane-wave DFT calculation with PBE-GGA was carried out for a relaxed UInSb crystal.

Properties
The value obtained for the uncorrected energy is -5.95 eV per atom.

Lattice parameters (Å, degrees): 3.8069 3.8069 10.7857 90.00 90.00 90.00
Space group I4mm (No. 107)
Symmetry-distinct sites (fractional):
U 0.0000 0.0000 0.0000 x2
In 0.0000 0.0000 0.6856 x2
Sb 0.0000 0.0000 0.3334 x2

---

23.
A plane-wave DFT calculation with PBE-GGA was carried out for a relaxed U2InSb3 crystal.

Properties
The value obtained for the uncorrected energy is -6.46 eV per atom.

Lattice parameters (Å, degrees): 4.3335 4.3335 8.5651 90.00 90.00 90.00
Space group P-4m2 (No. 115)
Symmetry-distinct sites (fractional):
U 0.0000 0.5000 0.2052 x2
In 0.0000 0.0000 0.5000 x1
Sb 0.0000 0.5000 0.8416 x2
Sb 0.5000 0.5000 0.5000 x1

---

24.
A plane-wave DFT calculation with PBE-GGA was carried out for a relaxed UInSb2 crystal.

Properties
The value obtained for the uncorrected energy is -5.51 eV per atom.

Lattice parameters (Å, degrees): 4.6266 4.6266 20.1093 90.00 90.00 120.00
Space group R3m (No. 160, hexagonal axes)
Symmetry-distinct sites (fractional):
U 0.0000 0.0000 0.0000 x3
In 0.0000 0.0000 0.1677 x3
Sb 0.0000 0.0000 0.4024 x3
Sb 0.0000 0.0000 0.5873 x3

---

| no. | formation energy (no corrections) (eV per atom) |
| --- | --- |
| 1 | 0.12 |
| 2 | -0.01 |
| 3 | -0.59 |
| 4 | -0.35 |
| 5 | -0.36 |
| 6 | -0.20 |
| 7 | -0.57 |
| 8 | -0.41 |
| 9 | -0.38 |
| 10 | -0.30 |
| 11 | -0.60 |
| 12 | -0.71 |
| 13 | 0.17 |
| 14 | -0.32 |
| 15 | -0.46 |
| 16 | -0.36 |
| 17 | -0.64 |
| 18 | -0.46 |
| 19 | -0.09 |
| 20 | -0.10 |
| 21 | 0.08 |
| 22 | 0.10 |
| 23 | -0.18 |
| 24 | 0.06 |